Compound: Ba2PdF6
Source: the Alexandria database
Functional: GGA-PBE
Structure: relaxed

abc: 5.659 5.659 11.769
angles: 90.00 90.00 90.00
Fractional positions:
Ba  0.000  0.000  0.165
Ba  0.000  0.000  0.835
Ba  0.500  0.500  0.335
Ba  0.500  0.500  0.665
Pd  0.000  0.000  0.500
Pd  0.500  0.500  0.000
F  0.178  0.178  0.352
F  0.178  0.178  0.648
F  0.223  0.223  0.000
F  0.277  0.723  0.500
F  0.322  0.678  0.148
F  0.322  0.678  0.852
F  0.678  0.322  0.148
F  0.678  0.322  0.852
F  0.723  0.277  0.500
F  0.777  0.777  0.000
F  0.822  0.822  0.352
F  0.822  0.822  0.648

Energy relative to the elements, uncorrected ... -2.8582 eV/atom
Volume ... 377.0 Å³/cell